The following is a PBE calculation of an optimized crystal structure of FeCoSb, from the Alexandria database.

Output
The value obtained for the density is 8.03 g cm⁻³. The space-group type is P3m1, No. 156.

Lattice parameters (Å, degrees): 3.0979 3.0979 5.8829 90.00 90.00 120.00
Last column: magnetic moment on the atom in μB.
Fractional positions:
Co (0.0000, 0.0000, 0.0314)  1.61
Fe (0.6667, 0.3333, 0.2959)  2.77
Sb (0.3333, 0.6667, 0.6727)  -0.01

The following is a PBE calculation of an optimized crystal structure of FeCo2Sb, from the Alexandria database.

Output
The value obtained for the density is 8.41 g cm⁻³. The space-group type is R-3m, No. 166.

Lattice parameters (Å, degrees): 7.7226 7.7226 7.7226 22.33 22.33 22.33
Last column: magnetic moment on the atom in μB.
Fractional positions:
Co (0.9939, 0.9939, 0.9939)  1.26
Co (0.5061, 0.5061, 0.5061)  1.26
Fe (0.2500, 0.2500, 0.2500)  2.89
Sb (0.7500, 0.7500, 0.7500)  -0.05

The following is a PBE calculation of an optimized crystal structure of FeCoSb4, from the Alexandria database.

Output
The value obtained for the density is 6.36 g cm⁻³. The calculation puts the distance to the lowest polymorph of the same formula at 1241 meV/atom. The space-group type is F-43m, No. 216.

Lattice parameters (Å, degrees): 6.0571 6.0571 6.0571 60.00 60.00 60.00
Last column: magnetic moment on the atom in μB.
Fractional positions:
Fe (0.0000, 0.0000, 0.0000)  3.26
Co (0.7500, 0.7500, 0.7500)  2.05
Sb (0.8741, 0.3753, 0.3753)  0.05
Sb (0.3753, 0.3753, 0.8741)  0.05
Sb (0.3753, 0.8741, 0.3753)  0.05
Sb (0.3753, 0.3753, 0.3753)  0.05

Quick rundown of DOS at the Fermi energy, same order as above: 2.325, 3.219, 8.698 states/eV/cell
Quick rundown of formation energy (no corrections), same order as above: 400, 389, 1139 meV per atom